A relaxed AsP2H crystal. Source: the Alexandria database, functional PBEsol.

```
data_AsP2H
_chemical_formula_sum 'As4 P8 H4'
_symmetry_space_group_name_H-M 'F m -3 m'
_symmetry_Int_Tables_number 225
_symmetry_space_group_name_Hall '-F 4 2 3'
_cell_length_a 5.953
_cell_length_b 5.953
_cell_length_c 5.953
_cell_angle_alpha 90.00
_cell_angle_beta 90.00
_cell_angle_gamma 90.00
loop_
_atom_site_label
_atom_site_type_symbol
_atom_site_fract_x
_atom_site_fract_y
_atom_site_fract_z
As1 As 0.000 0.000 0.000
P1 P 0.250 0.250 0.250
H1 H 0.000 0.000 0.500
```

Results
- E (eV per atom) = -4.2263
- total magnetic moment (μB/atom) = 0.000

=====

A relaxed TaFeOs2 crystal. Source: the Alexandria database, functional PBEsol.

```
data_TaFeOs2
_chemical_formula_sum 'Ta2 Fe2 Os4'
_symmetry_space_group_name_H-M 'I -4 m 2'
_symmetry_Int_Tables_number 119
_symmetry_space_group_name_Hall 'I -4 -2'
_cell_length_a 3.818
_cell_length_b 3.818
_cell_length_c 7.687
_cell_angle_alpha 90.00
_cell_angle_beta 90.00
_cell_angle_gamma 90.00
loop_
_atom_site_label
_atom_site_type_symbol
_atom_site_fract_x
_atom_site_fract_y
_atom_site_fract_z
Ta1 Ta 0.000 0.000 0.000
Fe1 Fe 0.000 0.500 0.250
Os1 Os 0.000 0.000 0.500
Os2 Os 0.000 0.500 0.750
```

Results
- E (eV per atom) = -11.5303
- calculated formation energy (eV/atom) = -0.04
- total magnetic moment (μB/atom) = 0.296

=====

A relaxed MgScCd crystal. Source: the Alexandria database, functional PBEsol.

```
data_MgScCd
_chemical_formula_sum 'Mg2 Sc2 Cd2'
_symmetry_space_group_name_H-M 'I 4 m m'
_symmetry_Int_Tables_number 107
_symmetry_space_group_name_Hall 'I 4 -2'
_cell_length_a 3.197
_cell_length_b 3.197
_cell_length_c 12.580
_cell_angle_alpha 90.00
_cell_angle_beta 90.00
_cell_angle_gamma 90.00
loop_
_atom_site_label
_atom_site_type_symbol
_atom_site_fract_x
_atom_site_fract_y
_atom_site_fract_z
Mg1 Mg 0.000 0.000 0.000
Sc1 Sc 0.000 0.000 0.682
Cd1 Cd 0.000 0.000 0.342
```

Results
- E (eV per atom) = -3.3470
- calculated formation energy (eV/atom) = -0.17
- total magnetic moment (μB/atom) = 0.085

=====

A relaxed YBeHg2 crystal. Source: the Alexandria database, functional PBEsol.

```
data_YBeHg2
_chemical_formula_sum 'Y2 Be2 Hg4'
_symmetry_space_group_name_H-M 'I m m 2'
_symmetry_Int_Tables_number 44
_cell_length_a 4.428
_cell_length_b 5.011
_cell_length_c 7.139
_cell_angle_alpha 90.00
_cell_angle_beta 90.00
_cell_angle_gamma 90.00
loop_
_symmetry_equiv_pos_as_xyz
'x,y,z'
'-x,-y,z'
'-x,y,z'
'x,-y,z'
'x+1/2,y+1/2,z+1/2'
'-x+1/2,-y+1/2,z+1/2'
'-x+1/2,y+1/2,z+1/2'
'x+1/2,-y+1/2,z+1/2'
loop_
_atom_site_label
_atom_site_type_symbol
_atom_site_fract_x
_atom_site_fract_y
_atom_site_fract_z
Y1 Y 0.000 0.000 0.000
Be1 Be 0.000 0.500 0.772
Hg1 Hg 0.000 0.000 0.453
Hg2 Hg 0.000 0.500 0.222
```

Results
- E (eV per atom) = -3.0921
- calculated formation energy (eV/atom) = -0.10
- total magnetic moment (μB/atom) = 0.000